DFT (PBE) results for an optimized crystal structure of Sr2LiCaHf.

Geometry as POSCAR:
```
Sr2LiCaHf
1.0
6.366 0.000 0.000
0.000 6.366 0.000
0.000 0.000 5.417
Sr Li Ca Hf
2 1 1 1
direct
0.000 0.500 0.000
0.500 0.000 0.000
0.000 0.000 0.500
0.500 0.500 0.000
0.500 0.500 0.500
```

Properties
The total energy comes out at -11.6 eV for the cell shown.